The following is a DFT calculation (GGA+U) of crystalline ZrSc2NiO at its relaxed geometry.

```
ZrSc2NiO
1.0
-2.186 -3.272 -1.978
3.038 -2.870 1.390
-2.285 -0.664 3.624
Ni Sc Zr O
1 2 1 1
Cartesian
-1.143 -0.332 1.812
-1.093 -1.636 -0.989
1.519 -1.435 0.695
-0.717 -3.403 1.517
0.000 0.000 0.000
```

The value obtained for the energy is -32.0 eV per cell. As for the symmetry: No. 123. For the spin magnetization, the calculation gives 0.06 μB/atom.